No. 1
## Er2Ga4Ag3 (GGA-PBE)

Data for a relaxed Er2Ga4Ag3 crystal.

Crystal system: orthorhombic
E_tot in Ha/atom: -0.1342

abc: 5.816 15.757 7.689
angles: 90.00 90.00 90.00
Space group Cmce (No. 64)
Inequivalent atoms, fractional coordinates:
1 Er 0.000 0.103 0.095
2 Ga 0.000 0.171 0.477
3 Ga 0.250 0.064 0.750
4 Ag 0.000 0.000 0.500
5 Ag 0.250 0.234 0.750

No. 2
## ErGaAg (GGA-PBE)

Data for a relaxed ErGaAg crystal.

Crystal system: tetragonal
E_tot in Ha/atom: -0.1383

abc: 3.384 3.384 10.877
angles: 90.00 90.00 90.00
Space group I4mm (No. 107)
Inequivalent atoms, fractional coordinates:
1 Er 0.000 0.000 0.000
2 Ga 0.000 0.000 0.324
3 Ag 0.000 0.000 0.687

No. 3
## Er2Ga3Ag2 (GGA-PBE)

Data for a relaxed Er2Ga3Ag2 crystal.

Crystal system: orthorhombic
E above lowest polymorph in eV per atom: 0.000

abc: 4.178 18.799 7.319
angles: 90.00 90.00 90.00
Space group Cmcm (No. 63)
Inequivalent atoms, fractional coordinates:
1 Er 0.000 0.055 0.250
2 Er 0.000 0.154 0.750
3 Ga 0.000 0.228 0.250
4 Ga 0.000 0.443 0.078
5 Ag 0.000 0.314 0.554

Ordered spin magnetization results: 0.0, 0.1, 0.0; unit μB per formula unit.